No. 1
A relaxed structure of ScTl2Pb, computed with PBE-GGA.

* VASP energy: -3.644 eV/atom
* mass density: 9.78 g/cm³
* formation energy: 0.0494 eV/atom

abc: 7.657 7.657 7.657
angles: 90.00 90.00 90.00
Space group F-43m (No. 216)
Inequivalent atoms, fractional coordinates:
Sc 0.000 0.000 0.000 (multiplicity 4)
Tl 0.000 0.000 0.500 (multiplicity 4)
Tl 0.250 0.250 0.250 (multiplicity 4)
Pb 0.250 0.250 0.750 (multiplicity 4)

No. 2
A relaxed structure of LiZrAl2, computed with PBE-GGA.

* VASP energy: -4.560 eV/atom
* mass density: 3.71 g/cm³
* formation energy: -0.0735 eV/atom

abc: 6.482 6.482 6.482
angles: 90.00 90.00 90.00
Space group F-43m (No. 216)
Inequivalent atoms, fractional coordinates:
Li 0.000 0.000 0.000 (multiplicity 4)
Zr 0.250 0.250 0.250 (multiplicity 4)
Al 0.000 0.000 0.500 (multiplicity 4)
Al 0.250 0.250 0.750 (multiplicity 4)

No. 3
A relaxed structure of SrOs2Se, computed with PBE-GGA.

* VASP energy: -6.107 eV/atom
* mass density: 11.46 g/cm³

abc: 3.863 3.863 10.620
angles: 90.00 90.00 90.00
Space group I4/mmm (No. 139)
Inequivalent atoms, fractional coordinates:
Sr 0.000 0.000 0.000 (multiplicity 2)
Os 0.000 0.500 0.250 (multiplicity 4)
Se 0.000 0.000 0.500 (multiplicity 2)

No. 4
A relaxed structure of KTl2In6, computed with PBE-GGA.

* VASP energy: -2.494 eV/atom
* mass density: 6.52 g/cm³
* formation energy: -0.0202 eV/atom

abc: 5.402 5.402 9.917
angles: 90.00 90.00 90.00
Space group P4/mmm (No. 123)
Inequivalent atoms, fractional coordinates:
K 0.000 0.000 0.000 (multiplicity 1)
Tl 0.500 0.500 0.158 (multiplicity 2)
In 0.000 0.000 0.500 (multiplicity 1)
In 0.000 0.500 0.323 (multiplicity 4)
In 0.500 0.500 0.500 (multiplicity 1)

No. 5
A relaxed structure of AcPr2Gd, computed with PBE-GGA.

* VASP energy: -6.907 eV/atom
* mass density: 7.39 g/cm³
* energy relative to the lowest polymorph listed for this composition: 10.3 meV/atom
* formation energy: 0.0301 eV/atom

abc: 3.786 3.786 10.444
angles: 90.00 90.00 90.00
Space group P4/mmm (No. 123)
Inequivalent atoms, fractional coordinates:
Ac 0.000 0.000 0.000 (multiplicity 1)
Pr 0.500 0.500 0.263 (multiplicity 2)
Gd 0.000 0.000 0.500 (multiplicity 1)

No. 6
A relaxed structure of Mg3BiMo, computed with PBE-GGA.

* VASP energy: -2.945 eV/atom
* mass density: 4.47 g/cm³
* energy relative to the lowest polymorph listed for this composition: 0.0 meV/atom
* formation energy: 0.9541 eV/atom

abc: 5.196 5.196 5.196
angles: 90.00 90.00 90.00
Space group Pm-3m (No. 221)
Inequivalent atoms, fractional coordinates:
Mg 0.000 0.000 0.500 (multiplicity 3)
Bi 0.500 0.500 0.500 (multiplicity 1)
Mo 0.000 0.000 0.000 (multiplicity 1)